# 1
Here is CaRe2Mo after structural relaxation from Alexandria. Energies are from PBE.

abc: 7.4980 7.4980 5.9856
angles: 51.22 51.22 90.00
Closest atoms and distances in Å follow each position.
Positions (direct):
1 Re 0.6736 0.1250 0.2500  2 Mo 2.51
2 Re 0.0764 0.6250 0.2500  2 Mo 2.51
3 Re 0.3750 0.3264 0.7500  2 Mo 2.51
4 Re 0.8750 0.9236 0.7500  2 Mo 2.51
5 Mo 0.0000 0.0000 0.0000  4 Re 2.51, 2 Ca 2.78
6 Mo 0.7500 0.2500 0.5000  4 Re 2.51, 2 Ca 2.78
7 Ca 0.5000 0.5000 0.0000  2 Mo 2.78, 4 Re 3.00
8 Ca 0.2500 0.7500 0.5000  2 Mo 2.78, 4 Re 3.00

relative energy among the computed polymorphs: 586.8 meV per atom
E_form: 1.051 eV per atom
raw total energy: -8.381 eV/atom

***

# 2
Here is AsP2CCl after structural relaxation from Alexandria. Energies are from PBE.

abc: 4.1962 4.1962 4.2446
angles: 90.00 90.00 90.00
Closest atoms and distances in Å follow each position.
Positions (direct):
1 P 0.0000 0.5000 0.0000  2 C 2.10
2 P 0.5000 0.0000 0.0000  2 C 2.10
3 As 0.5000 0.5000 0.5000  4 Cl 2.97, 8 P 2.98
4 C 0.0000 0.0000 0.0000  4 P 2.10, 2 Cl 2.12
5 Cl 0.0000 0.0000 0.5000  2 C 2.12

relative energy among the computed polymorphs: 0.0 meV per atom
raw total energy: -4.049 eV/atom
ΔE_f (raw): 6.3 eV/f.u.

***

| no. | V (Å³/cell) | DOS at the Fermi energy (states/eV per atom) |
| --- | --- | --- |
| 1 | 156.2 | 0.8948 |
| 2 | 74.7 | 0.5966 |